Crystalline NiAu2Cl at its relaxed geometry. Source: Alexandria, functional GGA-PBE.

Cell and atoms, written as CIF:
```
data_NiAu2Cl
_chemical_formula_sum 'Ni1 Au2 Cl1'
_space_group_name_H-M_alt 'P 4/m m m'
_space_group_IT_number 123
_space_group_name_Hall '-P 4 2'
_cell_length_a 3.7801
_cell_length_b 3.7801
_cell_length_c 5.2069
_cell_angle_alpha 90.00
_cell_angle_beta 90.00
_cell_angle_gamma 90.00
loop_
_atom_site_label
_atom_site_fract_x
_atom_site_fract_y
_atom_site_fract_z
Ni1 0.0000 0.0000 0.0000
Au1 0.0000 0.5000 0.5000
Cl1 0.5000 0.5000 0.0000
```

Summary:
Excess energy over the best structure of this formula in the dataset in kJ per mole of atoms: 34.6
Total magnetic moment in μB per formula unit: 1.11
Uncorrected formation energy in eV per atom: 0.40